# 1
# Sm2Dy3Sc3

A geometry-optimized Sm2Dy3Sc3 structure (PBE-GGA, the Alexandria database).

Unit cell a=11.6682 b=11.6682 c=5.9948 alpha=104.62 beta=104.62 gamma=17.21
Positions (direct):
Sm: 0.2463 0.2463 0.2420
Sm: 0.7537 0.7537 0.7580
Dy: 0.0000 0.0000 0.0000
Dy: 0.1223 0.1223 0.4623
Dy: 0.8777 0.8777 0.5377
Sc: 0.3779 0.3779 0.0448
Sc: 0.5000 0.5000 0.5000
Sc: 0.6221 0.6221 0.9552

- Calculated formation energy: 32 meV per atom
- DOS at the Fermi energy: 1.53 states/eV/atom

# 2
# Be16CoW2

A geometry-optimized Be16CoW2 structure (PBE-GGA, the Alexandria database).

Unit cell a=5.5004 b=5.5004 c=5.5004 alpha=83.32 beta=83.32 gamma=83.32
Positions (direct):
Be: 0.9996 0.2957 0.7047
Be: 0.9996 0.7047 0.2957
Be: 0.0021 0.0021 0.5035
Be: 0.0021 0.5035 0.0021
Be: 0.1062 0.1062 0.1062
Be: 0.1622 0.6529 0.6529
Be: 0.2957 0.9996 0.7047
Be: 0.2957 0.7047 0.9996
Be: 0.3537 0.3537 0.8403
Be: 0.3537 0.8403 0.3537
Be: 0.5035 0.0021 0.0021
Be: 0.6529 0.1622 0.6529
Be: 0.6529 0.6529 0.1622
Be: 0.7047 0.9996 0.2957
Be: 0.7047 0.2957 0.9996
Be: 0.8403 0.3537 0.3537
Co: 0.9050 0.9050 0.9050
W: 0.3408 0.3408 0.3408
W: 0.6617 0.6617 0.6617

- Calculated formation energy: -171 meV per atom
- DOS at the Fermi energy: 0.23 states/eV/atom

# 3
# LaFeGe2

A geometry-optimized LaFeGe2 structure (PBE-GGA, the Alexandria database).

Unit cell a=4.7494 b=4.7494 c=4.7494 alpha=60.00 beta=60.00 gamma=60.00
Positions (direct):
La: 0.0000 0.0000 0.0000
Fe: 0.5000 0.5000 0.5000
Ge: 0.2500 0.2500 0.2500
Ge: 0.7500 0.7500 0.7500

- Calculated formation energy: 6 meV per atom
- DOS at the Fermi energy: 0.74 states/eV/atom

# 4
# CsSb5Au4

A geometry-optimized CsSb5Au4 structure (PBE-GGA, the Alexandria database).

Unit cell a=8.7285 b=13.8191 c=5.0973 alpha=90.00 beta=90.00 gamma=90.00
Positions (direct):
Cs: 0.2500 0.2500 0.1750
Cs: 0.7500 0.7500 0.8250
Sb: 0.0061 0.5648 0.2756
Sb: 0.0061 0.9352 0.2756
Sb: 0.2500 0.7500 0.8572
Sb: 0.4939 0.5648 0.2756
Sb: 0.4939 0.9352 0.2756
Sb: 0.5061 0.0648 0.7244
Sb: 0.5061 0.4352 0.7244
Sb: 0.7500 0.2500 0.1428
Sb: 0.9939 0.0648 0.7244
Sb: 0.9939 0.4352 0.7244
Au: 0.0782 0.7500 0.4001
Au: 0.2500 0.5036 0.9831
Au: 0.2500 0.9964 0.9831
Au: 0.4218 0.7500 0.4001
Au: 0.5782 0.2500 0.5999
Au: 0.7500 0.0036 0.0169
Au: 0.7500 0.4964 0.0169
Au: 0.9218 0.2500 0.5999

- E_form (uncorrected): -139.9 meV/atom
- DOS at the Fermi energy: 0.45 states/eV/atom

# 5
# InSb2Os

A geometry-optimized InSb2Os structure (PBE-GGA, the Alexandria database).

Unit cell a=4.0185 b=4.0185 c=7.6281 alpha=105.48 beta=105.48 gamma=60.22
Positions (direct):
In: 0.0000 0.0000 0.0000
Sb: 0.2287 0.2287 0.6851
Sb: 0.7713 0.7713 0.3149
Os: 0.5000 0.5000 0.5000

- E_form (uncorrected): 268.3 meV/atom
- DOS at the Fermi energy: 0.62 states/eV/atom

# 6
# SrCa3Rh

A geometry-optimized SrCa3Rh structure (PBE-GGA, the Alexandria database).

Unit cell a=9.6728 b=9.6728 c=8.9787 alpha=92.69 beta=92.69 gamma=24.60
Positions (direct):
Sr: 0.0000 0.0000 0.0000
Sr: 0.1265 0.1265 0.7015
Ca: 0.1823 0.1823 0.1419
Ca: 0.3781 0.3781 0.2275
Ca: 0.4322 0.4322 0.6312
Ca: 0.5564 0.5564 0.3442
Ca: 0.7813 0.7813 0.4718
Ca: 0.7806 0.7806 0.8908
Rh: 0.6219 0.6219 0.9607
Rh: 0.9473 0.9473 0.4024

- Calculated formation energy: -206 meV per atom
- DOS at the Fermi energy: 0.69 states/eV/atom

# 7
# BaTiFe2Rh

A geometry-optimized BaTiFe2Rh structure (PBE-GGA, the Alexandria database).

Unit cell a=4.6438 b=4.6438 c=4.9412 alpha=90.00 beta=90.00 gamma=90.00
Positions (direct):
Ba: 0.0000 0.0000 0.0000
Ti: 0.0000 0.0000 0.5000
Fe: 0.0000 0.5000 0.0000
Fe: 0.5000 0.0000 0.0000
Rh: 0.5000 0.5000 0.5000

- Calculated formation energy: 2322 meV per atom
- DOS at the Fermi energy: 1.55 states/eV/atom

# 8
# Ca2ScCuAs

A geometry-optimized Ca2ScCuAs structure (PBE-GGA, the Alexandria database).

Unit cell a=5.5522 b=5.5522 c=5.0708 alpha=90.00 beta=90.00 gamma=90.00
Positions (direct):
Ca: 0.0000 0.5000 0.0000
Ca: 0.5000 0.0000 0.0000
Sc: 0.0000 0.0000 0.5000
Cu: 0.5000 0.5000 0.5000
As: 0.0000 0.0000 0.0000

- Calculated formation energy: -124 meV per atom
- DOS at the Fermi energy: 0.80 states/eV/atom

# 9
# Tb2CeNdY

A geometry-optimized Tb2CeNdY structure (PBE-GGA, the Alexandria database).

Unit cell a=5.9391 b=7.8542 c=7.1436 alpha=90.00 beta=90.00 gamma=90.00
Positions (direct):
Tb: 0.2500 0.2073 0.1829
Tb: 0.2500 0.7927 0.1829
Tb: 0.7500 0.2073 0.8171
Tb: 0.7500 0.7927 0.8171
Ce: 0.0000 0.5000 0.5000
Ce: 0.5000 0.5000 0.5000
Nd: 0.2500 0.0000 0.6628
Nd: 0.7500 0.0000 0.3372
Y: 0.2500 0.5000 0.8920
Y: 0.7500 0.5000 0.1080

- Calculated formation energy: 290 meV per atom
- DOS at the Fermi energy: 2.06 states/eV/atom

# 10
# La2MoRh

A geometry-optimized La2MoRh structure (PBE-GGA, the Alexandria database).

Unit cell a=3.6284 b=4.9760 c=5.2059 alpha=90.00 beta=90.00 gamma=90.00
Positions (direct):
La: 0.0000 0.0000 0.0000
La: 0.0000 0.5000 0.5000
Mo: 0.5000 0.0000 0.5000
Rh: 0.5000 0.5000 0.0000

- Calculated formation energy: 89 meV per atom
- DOS at the Fermi energy: 1.10 states/eV/atom

# 11
# Be2SnAu8

A geometry-optimized Be2SnAu8 structure (PBE-GGA, the Alexandria database).

Unit cell a=5.5345 b=5.8944 c=6.9407 alpha=104.98 beta=97.85 gamma=114.39
Positions (direct):
Be: 0.1354 0.2107 0.3126
Be: 0.8646 0.7893 0.6874
Sn: 0.5000 0.5000 0.0000
Au: 0.1165 0.6012 0.2261
Au: 0.2314 0.9610 0.9970
Au: 0.2733 0.0653 0.5913
Au: 0.3612 0.6234 0.6240
Au: 0.6388 0.3766 0.3760
Au: 0.7267 0.9347 0.4087
Au: 0.7686 0.0390 0.0030
Au: 0.8835 0.3988 0.7739

- Calculated formation energy: -67 meV per atom
- DOS at the Fermi energy: 0.21 states/eV/atom

# 12
# TePb3

A geometry-optimized TePb3 structure (PBE-GGA, the Alexandria database).

Unit cell a=12.0574 b=12.0574 c=12.0574 alpha=16.68 beta=16.68 gamma=16.68
Positions (direct):
Te: 0.0000 0.0000 0.0000
Pb: 0.2536 0.2536 0.2536
Pb: 0.5000 0.5000 0.5000
Pb: 0.7464 0.7464 0.7464

- E_form (uncorrected): 50.3 meV/atom
- DOS at the Fermi energy: 0.51 states/eV/atom

# 13
# Sb3AsF

A geometry-optimized Sb3AsF structure (PBE-GGA, the Alexandria database).

Unit cell a=5.3652 b=5.3652 c=5.3652 alpha=90.00 beta=90.00 gamma=90.00
Positions (direct):
Sb: 0.0000 0.0000 0.5000
Sb: 0.0000 0.5000 0.0000
Sb: 0.5000 0.0000 0.0000
As: 0.0000 0.0000 0.0000
F: 0.5000 0.5000 0.5000

- E_form (uncorrected): 425.2 meV/atom
- DOS at the Fermi energy: 0.81 states/eV/atom

# 14
# CsScAg2F8

A geometry-optimized CsScAg2F8 structure (PBE-GGA, the Alexandria database).

Unit cell a=8.1233 b=8.1233 c=8.1233 alpha=41.75 beta=41.75 gamma=41.75
Positions (direct):
Cs: 0.0000 0.0000 0.0000
Sc: 0.5000 0.5000 0.5000
Ag: 0.2102 0.2102 0.2102
Ag: 0.7898 0.7898 0.7898
F: 0.1875 0.7830 0.3885
F: 0.2170 0.6115 0.8125
F: 0.3009 0.3009 0.3009
F: 0.3885 0.1875 0.7830
F: 0.6115 0.8125 0.2170
F: 0.6991 0.6991 0.6991
F: 0.7830 0.3885 0.1875
F: 0.8125 0.2170 0.6115

- E_form (uncorrected): -2257.6 meV/atom

# 15
# KNaCo2Cl6

A geometry-optimized KNaCo2Cl6 structure (PBE-GGA, the Alexandria database).

Unit cell a=9.6098 b=9.6098 c=7.0259 alpha=105.50 beta=105.50 gamma=87.08
Positions (direct):
K: 0.1036 0.8964 0.7500
K: 0.8964 0.1036 0.2500
Na: 0.2713 0.7287 0.2500
Na: 0.7287 0.2713 0.7500
Co: 0.2195 0.3715 0.8603
Co: 0.3715 0.2195 0.3603
Co: 0.6285 0.7805 0.6397
Co: 0.7805 0.6285 0.1397
Cl: 0.0278 0.2189 0.7207
Cl: 0.1675 0.5974 0.8440
Cl: 0.2189 0.0278 0.2207
Cl: 0.2891 0.4014 0.2105
Cl: 0.4014 0.2891 0.7105
Cl: 0.4026 0.8325 0.6560
Cl: 0.5974 0.1675 0.3440
Cl: 0.5986 0.7109 0.2895
Cl: 0.7109 0.5986 0.7895
Cl: 0.7811 0.9722 0.7793
Cl: 0.8325 0.4026 0.1560
Cl: 0.9722 0.7811 0.2793

- E_form (uncorrected): -1079.5 meV/atom

# 16
# Zn2TeW

A geometry-optimized Zn2TeW structure (PBE-GGA, the Alexandria database).

Unit cell a=2.9430 b=3.9060 c=6.4679 alpha=90.00 beta=90.00 gamma=90.00
Positions (direct):
Zn: 0.0000 0.0000 0.1979
Zn: 0.0000 0.0000 0.8021
Te: 0.5000 0.5000 0.5000
W: 0.5000 0.5000 0.0000

- E_form (uncorrected): 538.5 meV/atom
- DOS at the Fermi energy: 0.70 states/eV/atom

# 17
# Ba2FeRh

A geometry-optimized Ba2FeRh structure (PBE-GGA, the Alexandria database).

Unit cell a=8.8662 b=8.8662 c=8.8662 alpha=27.73 beta=27.73 gamma=27.73
Positions (direct):
Ba: 0.2389 0.2389 0.2389
Ba: 0.7611 0.7611 0.7611
Fe: 0.0000 0.0000 0.0000
Rh: 0.5000 0.5000 0.5000

- Calculated formation energy: 633 meV per atom
- DOS at the Fermi energy: 1.06 states/eV/atom

# 18
# AlTcHRh2

A geometry-optimized AlTcHRh2 structure (PBE-GGA, the Alexandria database).

Unit cell a=3.8964 b=3.8964 c=3.9420 alpha=90.00 beta=90.00 gamma=90.00
Positions (direct):
Al: 0.0000 0.0000 0.0000
Tc: 0.5000 0.5000 0.0000
H: 0.5000 0.5000 0.5000
Rh: 0.0000 0.5000 0.5000
Rh: 0.5000 0.0000 0.5000

- E: -6.642 eV per atom
- DOS at the Fermi energy: 1.04 states/eV/atom

# 19
# LiCa2NbGa

A geometry-optimized LiCa2NbGa structure (PBE-GGA, the Alexandria database).

Unit cell a=5.3009 b=5.3009 c=4.5478 alpha=90.00 beta=90.00 gamma=90.00
Positions (direct):
Li: 0.0000 0.0000 0.0000
Ca: 0.0000 0.5000 0.0000
Ca: 0.5000 0.0000 0.0000
Nb: 0.5000 0.5000 0.5000
Ga: 0.0000 0.0000 0.5000

- Calculated formation energy: 670 meV per atom
- DOS at the Fermi energy: 0.66 states/eV/atom

# 20
# SbTeIr2

A geometry-optimized SbTeIr2 structure (PBE-GGA, the Alexandria database).

Unit cell a=3.3309 b=3.3309 c=7.9517 alpha=90.00 beta=90.00 gamma=90.00
Positions (direct):
Sb: 0.0000 0.0000 0.0000
Te: 0.5000 0.5000 0.4369
Ir: 0.0000 0.0000 0.5962
Ir: 0.5000 0.5000 0.8269

- E_form (uncorrected): 215.3 meV/atom
- DOS at the Fermi energy: 0.67 states/eV/atom

# 21
# RbCuTe2N

A geometry-optimized RbCuTe2N structure (PBE-GGA, the Alexandria database).

Unit cell a=6.3348 b=6.3348 c=4.2651 alpha=90.00 beta=90.00 gamma=90.00
Positions (direct):
Rb: 0.0000 0.0000 0.0000
Cu: 0.5000 0.5000 0.5000
Te: 0.0000 0.5000 0.0000
Te: 0.5000 0.0000 0.0000
N: 0.0000 0.0000 0.5000

- E_form (uncorrected): 2039.1 meV/atom
- DOS at the Fermi energy: 1.52 states/eV/atom

# 22
# Na2AgIr

A geometry-optimized Na2AgIr structure (PBE-GGA, the Alexandria database).

Unit cell a=6.2119 b=6.2119 c=6.2119 alpha=101.14 beta=101.14 gamma=127.84
Positions (direct):
Na: 0.1238 0.1250 0.4988
Na: 0.3750 0.8762 0.0012
Na: 0.6262 0.6250 0.5012
Na: 0.8750 0.3738 0.9988
Ag: 0.0000 0.0000 0.0000
Ag: 0.7500 0.2500 0.5000
Ir: 0.2500 0.7500 0.5000
Ir: 0.5000 0.5000 0.0000

- Calculated formation energy: 719 meV per atom
- DOS at the Fermi energy: 0.95 states/eV/atom

# 23
# CdTc2Se

A geometry-optimized CdTc2Se structure (PBE-GGA, the Alexandria database).

Unit cell a=2.9746 b=2.9746 c=8.1629 alpha=90.00 beta=90.00 gamma=90.00
Positions (direct):
Cd: 0.0000 0.0000 0.0000
Tc: 0.0000 0.0000 0.5487
Tc: 0.5000 0.5000 0.7543
Se: 0.5000 0.5000 0.3607

- E_form (uncorrected): 100.1 meV/atom
- DOS at the Fermi energy: 0.88 states/eV/atom

# 24
# Ac2YGe3Pd4

A geometry-optimized Ac2YGe3Pd4 structure (PBE-GGA, the Alexandria database).

Unit cell a=4.4151 b=4.4151 c=11.3435 alpha=90.00 beta=90.00 gamma=90.00
Positions (direct):
Ac: 0.0000 0.5000 0.2278
Ac: 0.5000 0.0000 0.7722
Y: 0.0000 0.0000 0.5000
Ge: 0.0000 0.5000 0.8830
Ge: 0.5000 0.0000 0.1170
Ge: 0.5000 0.5000 0.5000
Pd: 0.0000 0.0000 0.0000
Pd: 0.0000 0.5000 0.6576
Pd: 0.5000 0.0000 0.3424
Pd: 0.5000 0.5000 0.0000

- Calculated formation energy: -849 meV per atom
- DOS at the Fermi energy: 0.57 states/eV/atom